No. 1
Entry from the Alexandria database: a relaxed structure of BaCa2Sc (PBE-GGA).

Values from the calculation:
* E: -0.2042 Ry/atom
* space-group type: Cmmm
* D(E_F): 7.9 states/eV/cell
* crystal system: orthorhombic
* formation energy from the elements: 286 meV per atom

Cell lengths 6.7566, 6.7566, 3.7465 Å; angles 90.00, 90.00, 111.49 degrees
Atoms (fractional coordinates):
Ba (0.0000, 0.0000, 0.0000)
Ca (0.0000, 0.5000, 0.5000)
Ca (0.5000, 0.0000, 0.5000)
Sc (0.5000, 0.5000, 0.0000)

No. 2
Entry from the Alexandria database: a relaxed structure of RbHoCd2Cl8 (PBE-GGA).

Values from the calculation:
* E: -0.2535 Ry/atom
* space-group type: P-1
* D(E_F): 0.0 states/eV/cell
* formation energy without anion corrections: -1.603 eV per atom
* crystal system: triclinic

Cell lengths 6.5972, 6.6043, 9.2184 Å; angles 78.34, 78.91, 78.71 degrees
Atoms (fractional coordinates):
Rb (0.0000, 0.0000, 0.0000)
Ho (0.0000, 0.0000, 0.5000)
Cd (0.4505, 0.4452, 0.2211)
Cd (0.5495, 0.5548, 0.7789)
Cl (0.1794, 0.7416, 0.7170)
Cl (0.2426, 0.8051, 0.2888)
Cl (0.2733, 0.2526, 0.4706)
Cl (0.3406, 0.3186, 0.0099)
Cl (0.6594, 0.6814, 0.9901)
Cl (0.7267, 0.7474, 0.5294)
Cl (0.7574, 0.1949, 0.7112)
Cl (0.8206, 0.2584, 0.2830)

No. 3
Entry from the Alexandria database: a relaxed structure of YBe2Si (PBE-GGA).

Values from the calculation:
* E: -0.3658 Ry/atom
* space-group type: Pmmm
* D(E_F): 1.2 states/eV/cell
* formation energy without anion corrections: -0.142 eV per atom
* crystal system: orthorhombic

Cell lengths 3.8922, 4.0677, 4.3219 Å; angles 90.00, 90.00, 90.00 degrees
Atoms (fractional coordinates):
Y (0.0000, 0.0000, 0.0000)
Be (0.5000, 0.5000, 0.2449)
Be (0.5000, 0.5000, 0.7551)
Si (0.0000, 0.5000, 0.5000)

No. 4
Entry from the Alexandria database: a relaxed structure of Ca2TcSb (PBE-GGA).

Values from the calculation:
* E: -0.3342 Ry/atom
* space-group type: Pmmm
* D(E_F): 3.2 states/eV/cell
* formation energy without anion corrections: 0.076 eV per atom
* crystal system: orthorhombic

Cell lengths 3.3752, 4.3426, 6.5771 Å; angles 90.00, 90.00, 90.00 degrees
Atoms (fractional coordinates):
Ca (0.0000, 0.0000, 0.2401)
Ca (0.0000, 0.0000, 0.7599)
Tc (0.5000, 0.5000, 0.0000)
Sb (0.5000, 0.5000, 0.5000)

No. 5
Entry from the Alexandria database: a relaxed structure of Ce2Ga5Br12 (PBE-GGA).

Values from the calculation:
* E: -0.2592 Ry/atom
* space-group type: C2/m
* D(E_F): 8.2 states/eV/cell
* formation energy without anion corrections: -1.048 eV per atom
* crystal system: monoclinic

Cell lengths 9.5789, 9.5789, 10.4712 Å; angles 107.30, 107.30, 52.50 degrees
Atoms (fractional coordinates):
Ce (0.2490, 0.7510, 0.0000)
Ce (0.7510, 0.2490, 0.0000)
Ga (0.1783, 0.1783, 0.7397)
Ga (0.2288, 0.2288, 0.3768)
Ga (0.5000, 0.5000, 0.5000)
Ga (0.7712, 0.7712, 0.6232)
Ga (0.8217, 0.8217, 0.2603)
Br (0.0000, 0.0000, 0.1928)
Br (0.0000, 0.0000, 0.8072)
Br (0.0718, 0.5895, 0.8984)
Br (0.1089, 0.6100, 0.4528)
Br (0.3900, 0.8911, 0.5472)
Br (0.4105, 0.9282, 0.1016)
Br (0.4927, 0.4927, 0.1854)
Br (0.5073, 0.5073, 0.8146)
Br (0.5895, 0.0718, 0.8984)
Br (0.6100, 0.1089, 0.4528)
Br (0.8911, 0.3900, 0.5472)
Br (0.9282, 0.4105, 0.1016)

No. 6
Entry from the Alexandria database: a relaxed structure of GaSn3B (PBE-GGA).

Values from the calculation:
* E: -0.2228 Ry/atom
* space-group type: Pm-3m
* D(E_F): 3.6 states/eV/cell
* crystal system: cubic
* formation energy from the elements: 1311 meV per atom

Cell lengths 5.2956, 5.2956, 5.2956 Å; angles 90.00, 90.00, 90.00 degrees
Atoms (fractional coordinates):
Ga (0.0000, 0.0000, 0.0000)
Sn (0.0000, 0.0000, 0.5000)
Sn (0.0000, 0.5000, 0.0000)
Sn (0.5000, 0.0000, 0.0000)
B (0.5000, 0.5000, 0.5000)

No. 7
Entry from the Alexandria database: a relaxed structure of SmDy2Cd (PBE-GGA).

Values from the calculation:
* E: -0.2770 Ry/atom
* space-group type: R3m
* D(E_F): 4.8 states/eV/cell
* crystal system: trigonal
* formation energy from the elements: -59 meV per atom

Cell lengths 10.9762, 10.9762, 10.9762 Å; angles 18.94, 18.94, 18.94 degrees
Atoms (fractional coordinates):
Sm (0.0000, 0.0000, 0.0000)
Dy (0.5768, 0.5768, 0.5768)
Dy (0.7567, 0.7567, 0.7567)
Cd (0.1665, 0.1665, 0.1665)

No. 8
Entry from the Alexandria database: a relaxed structure of SrTe3C (PBE-GGA).

Values from the calculation:
* E: -0.1678 Ry/atom
* space-group type: Pm-3m
* D(E_F): 14.4 states/eV/cell
* formation energy without anion corrections: 1.783 eV per atom
* crystal system: cubic

Cell lengths 6.1302, 6.1302, 6.1302 Å; angles 90.00, 90.00, 90.00 degrees
Atoms (fractional coordinates):
Sr (0.0000, 0.0000, 0.0000)
Te (0.0000, 0.0000, 0.5000)
Te (0.0000, 0.5000, 0.0000)
Te (0.5000, 0.0000, 0.0000)
C (0.5000, 0.5000, 0.5000)

No. 9
Entry from the Alexandria database: a relaxed structure of GdAlAu (PBE-GGA).

Values from the calculation:
* E: -0.5715 Ry/atom
* space-group type: P-6m2
* D(E_F): 2.7 states/eV/cell
* crystal system: hexagonal
* formation energy from the elements: -742 meV per atom

Cell lengths 4.5558, 4.5558, 3.6780 Å; angles 90.00, 90.00, 120.00 degrees
Atoms (fractional coordinates):
Gd (0.0000, 0.0000, 0.0000)
Al (0.3333, 0.6667, 0.5000)
Au (0.6667, 0.3333, 0.5000)

No. 10
Entry from the Alexandria database: a relaxed structure of Sc3Ga4Co2 (PBE-GGA).

Values from the calculation:
* E: -0.4084 Ry/atom
* space-group type: C2/m
* D(E_F): 6.7 states/eV/cell
* crystal system: monoclinic
* formation energy from the elements: -521 meV per atom

Cell lengths 5.4285, 5.4285, 7.8197 Å; angles 109.14, 109.14, 44.98 degrees
Atoms (fractional coordinates):
Sc (0.0000, 0.0000, 0.0000)
Sc (0.3624, 0.3624, 0.3183)
Sc (0.6376, 0.6376, 0.6817)
Ga (0.0859, 0.0859, 0.4002)
Ga (0.2822, 0.2822, 0.9245)
Ga (0.7178, 0.7178, 0.0755)
Ga (0.9141, 0.9141, 0.5998)
Co (0.3224, 0.3224, 0.6435)
Co (0.6776, 0.6776, 0.3565)

No. 11
Entry from the Alexandria database: a relaxed structure of Dy4TlSnC (PBE-GGA).

Values from the calculation:
* E: -0.3929 Ry/atom
* space-group type: Cmcm
* D(E_F): 9.2 states/eV/cell
* crystal system: orthorhombic
* formation energy from the elements: -488 meV per atom

Cell lengths 8.5885, 8.5885, 6.8419 Å; angles 90.00, 90.00, 133.01 degrees
Atoms (fractional coordinates):
Dy (0.0000, 0.5000, 0.0000)
Dy (0.0000, 0.5000, 0.5000)
Dy (0.0890, 0.9110, 0.7500)
Dy (0.4108, 0.5892, 0.7500)
Dy (0.5000, 0.0000, 0.0000)
Dy (0.5000, 0.0000, 0.5000)
Dy (0.5892, 0.4108, 0.2500)
Dy (0.9110, 0.0890, 0.2500)
Tl (0.1118, 0.8882, 0.2500)
Tl (0.8882, 0.1118, 0.7500)
Sn (0.3878, 0.6122, 0.2500)
Sn (0.6122, 0.3878, 0.7500)
C (0.2494, 0.7506, 0.7500)
C (0.7506, 0.2494, 0.2500)

No. 12
Entry from the Alexandria database: a relaxed structure of ErMgZrRe (PBE-GGA).

Values from the calculation:
* E: -0.4994 Ry/atom
* space-group type: F-43m
* D(E_F): 4.1 states/eV/cell
* crystal system: cubic
* formation energy from the elements: -7 meV per atom

Cell lengths 4.8769, 4.8769, 4.8769 Å; angles 60.00, 60.00, 60.00 degrees
Atoms (fractional coordinates):
Er (0.0000, 0.0000, 0.0000)
Mg (0.2500, 0.2500, 0.2500)
Zr (0.5000, 0.5000, 0.5000)
Re (0.7500, 0.7500, 0.7500)

What is the D(E_F) in the eleventh record? 9.2 states/eV/cell

The lowest D(E_F) belongs to which entry? RbHoCd2Cl8